Material: BaOsRu
Method: DFT, PBE
State: relaxed

POSCAR file:
```
BaOsRu
1.0
4.500 0.000 0.000
-0.928 4.777 0.000
-0.538 -0.227 8.019
Ba Os Ru
2 2 2
Cartesian
0.643 1.129 2.568 Ba
2.390 3.421 5.451 Ba
0.528 1.420 7.285 Os
2.505 3.130 0.734 Os
0.223 3.935 0.006 Ru
2.809 0.615 8.013 Ru
```

Values from the calculation:
As for the symmetry: No. 2. Its crystal system is triclinic. Its energy above the most stable polymorph in this dataset is 0.0787 eV/atom.


Material: CaTaRu2C
Method: DFT, PBE
State: relaxed

POSCAR file:
```
CaTaRu2C
1.0
4.629 0.000 0.000
0.000 4.629 0.000
0.000 0.000 6.001
Ca Ta Ru C
1 1 2 1
Cartesian
0.000 0.000 0.000 Ca
0.000 0.000 3.001 Ta
0.000 2.314 3.001 Ru
2.314 0.000 3.001 Ru
2.314 2.314 0.000 C
```

Values from the calculation:
As for the symmetry: No. 123. Its crystal system is tetragonal. Its total energy is -29.9 eV per formula unit.


Which formula does entry 2 have? CaTaRu2C